Entry 1:
# PBE Pm3Cd2Au, relaxed
data_Pm3Cd2Au
_cell_length_a 5.3379
_cell_length_b 5.3379
_cell_length_c 6.5595
_cell_angle_alpha 90.00
_cell_angle_beta 90.00
_cell_angle_gamma 120.00
_symmetry_space_group_name_H-M 'P -3 m 1'
_symmetry_Int_Tables_number 164
_symmetry_space_group_name_Hall '-P 3 2"'
loop_
_atom_site_label
_atom_site_type_symbol
_atom_site_fract_x
_atom_site_fract_y
_atom_site_fract_z
_atom_site_occupancy
Pm1 Pm 0.0000 0.0000 0.0000 1
Pm2 Pm 0.3333 0.6667 0.6484 1
Cd1 Cd 0.3333 0.6667 0.1434 1
Au1 Au 0.0000 0.0000 0.5000 1
# Relative energy among the computed polymorphs ... 15 meV per atom

=====

Entry 2:
# PBE Pm2Cd3Au5, relaxed
data_Pm2Cd3Au5
_cell_length_a 11.906
_cell_length_b 13.042
_cell_length_c 5.931
_cell_angle_alpha 90.00
_cell_angle_beta 90.00
_cell_angle_gamma 90.00
_symmetry_space_group_name_H-M 'I b a m'
_symmetry_Int_Tables_number 72
_symmetry_space_group_name_Hall '-I 2 2c'
loop_
_atom_site_label
_atom_site_type_symbol
_atom_site_fract_x
_atom_site_fract_y
_atom_site_fract_z
_atom_site_occupancy
Pm1 Pm 0.122 0.247 0.000 1
Cd1 Cd 0.000 0.000 0.250 1
Cd2 Cd 0.128 0.364 0.500 1
Au1 Au 0.000 0.500 0.250 1
Au2 Au 0.124 0.157 0.500 1
Au3 Au 0.240 0.000 0.250 1
# Total energy ... -3.25 eV per atom

=====

Entry 3:
# PBE Pm2Cd6Au3, relaxed
data_Pm2Cd6Au3
_cell_length_a 8.3060
_cell_length_b 8.3060
_cell_length_c 4.4270
_cell_angle_alpha 90.00
_cell_angle_beta 90.00
_cell_angle_gamma 120.00
_symmetry_space_group_name_H-M 'P -6 2 m'
_symmetry_Int_Tables_number 189
_symmetry_space_group_name_Hall 'P -6 -2'
loop_
_atom_site_label
_atom_site_type_symbol
_atom_site_fract_x
_atom_site_fract_y
_atom_site_fract_z
_atom_site_occupancy
Pm1 Pm 0.3333 0.6667 0.0000 1
Cd1 Cd 0.0000 0.2698 0.5000 1
Cd2 Cd 0.0000 0.7963 0.0000 1
Au1 Au 0.0000 0.5934 0.5000 1
# Total energy ... -2.58 eV per atom

=====

Entry 4:
# PBE PmCd2Au8, relaxed
data_PmCd2Au8
_cell_length_a 8.166
_cell_length_b 13.810
_cell_length_c 5.193
_cell_angle_alpha 90.00
_cell_angle_beta 128.76
_cell_angle_gamma 90.00
_symmetry_space_group_name_H-M 'C 1 2/m 1'
_symmetry_Int_Tables_number 12
loop_
_symmetry_equiv_pos_as_xyz
'x,y,z'
'-x,-y,-z'
'-x,y,-z'
'x,-y,z'
'x+1/2,y+1/2,z'
'-x+1/2,-y+1/2,-z'
'-x+1/2,y+1/2,-z'
'x+1/2,-y+1/2,z'
loop_
_atom_site_label
_atom_site_type_symbol
_atom_site_fract_x
_atom_site_fract_y
_atom_site_fract_z
_atom_site_occupancy
Pm1 Pm 0.000 0.000 0.000 1
Cd1 Cd 0.000 0.313 0.500 1
Au1 Au 0.000 0.218 0.000 1
Au2 Au 0.060 0.500 0.806 1
Au3 Au 0.210 0.122 0.641 1
# Relative energy among the computed polymorphs ... 27 meV per atom